# 1
This record from Alexandria describes a relaxed structure of GaBiPSe. The functional is PBE.

Structure (CIF):
```
data_GaBiPSe
_chemical_formula_sum 'Ga1 Bi1 P1 Se1'
_cell_length_a 4.0474
_cell_length_b 5.5524
_cell_length_c 4.4386
_cell_angle_alpha 90.00
_cell_angle_beta 90.00
_cell_angle_gamma 90.00
_symmetry_space_group_name_H-M 'P 1'
_symmetry_Int_Tables_number 1
_symmetry_space_group_name_Hall 'P 1'
loop_
_atom_site_label
_atom_site_type_symbol
_atom_site_fract_x
_atom_site_fract_y
_atom_site_fract_z
_atom_site_occupancy
Bi1 Bi 0.0000 0.5000 0.9989 1
Se1 Se 0.0000 0.0000 0.8634 1
Ga1 Ga 0.5000 0.0000 0.4659 1
P1 P 0.5000 0.5000 0.4137 1
```

Summary:
Formation energy without anion corrections ... -0.096 eV per atom
Space group ... Pmm2, No. 25
Excess energy over the best structure of this formula in the dataset ... 147 meV/atom
Crystal system ... orthorhombic

=====

# 2
This record from Alexandria describes a relaxed structure of DyNpSeS2. The functional is PBE.

Structure (CIF):
```
data_DyNpSeS2
_chemical_formula_sum 'Dy1 Np1 Se1 S2'
_cell_length_a 4.3238
_cell_length_b 4.3238
_cell_length_c 7.3187
_cell_angle_alpha 107.18
_cell_angle_beta 107.18
_cell_angle_gamma 90.00
_symmetry_space_group_name_H-M 'P 1'
_symmetry_Int_Tables_number 1
_symmetry_space_group_name_Hall 'P 1'
loop_
_atom_site_label
_atom_site_type_symbol
_atom_site_fract_x
_atom_site_fract_y
_atom_site_fract_z
_atom_site_occupancy
Np1 Np 0.1306 0.1306 0.2612 1
S1 S 0.2505 0.7505 0.5010 1
S2 S 0.7505 0.2505 0.5010 1
Se1 Se 0.5027 0.5027 0.0054 1
Dy1 Dy 0.8657 0.8657 0.7314 1
```

Summary:
Formation energy without anion corrections ... -1.221 eV per atom
Space group ... I4mm, No. 107
Crystal system ... tetragonal

=====

# 3
This record from Alexandria describes a relaxed structure of VCo2Ni3. The functional is PBE.

Structure (CIF):
```
data_VCo2Ni3
_chemical_formula_sum 'V2 Co4 Ni6'
_cell_length_a 4.3201
_cell_length_b 4.3201
_cell_length_c 8.3256
_cell_angle_alpha 69.99
_cell_angle_beta 69.99
_cell_angle_gamma 71.41
_symmetry_space_group_name_H-M 'P 1'
_symmetry_Int_Tables_number 1
_symmetry_space_group_name_Hall 'P 1'
loop_
_atom_site_label
_atom_site_type_symbol
_atom_site_fract_x
_atom_site_fract_y
_atom_site_fract_z
_atom_site_occupancy
Ni1 Ni 0.9609 0.2105 0.5787 1
Ni2 Ni 0.0391 0.7895 0.4213 1
Ni3 Ni 0.8750 0.6250 0.7500 1
Ni4 Ni 0.7105 0.4609 0.0787 1
Ni5 Ni 0.2895 0.5391 0.9213 1
Ni6 Ni 0.1250 0.3750 0.2500 1
Co1 Co 0.2054 0.9556 0.0886 1
Co2 Co 0.7946 0.0444 0.9114 1
Co3 Co 0.4556 0.7054 0.5886 1
Co4 Co 0.5444 0.2946 0.4114 1
V1 V 0.6247 0.8753 0.2500 1
V2 V 0.3753 0.1247 0.7500 1
```

Summary:
Energy relative to the elements ... -0.3 eV/f.u.
Space group ... C2/c, No. 15
Excess energy over the best structure of this formula in the dataset ... 0 meV/atom
Crystal system ... monoclinic

=====

# 4
This record from Alexandria describes a relaxed structure of MoPt3. The functional is PBE.

Structure (CIF):
```
data_MoPt3
_chemical_formula_sum 'Mo1 Pt3'
_cell_length_a 2.7794
_cell_length_b 4.5747
_cell_length_c 4.8996
_cell_angle_alpha 90.00
_cell_angle_beta 90.00
_cell_angle_gamma 90.00
_symmetry_space_group_name_H-M 'P 1'
_symmetry_Int_Tables_number 1
_symmetry_space_group_name_Hall 'P 1'
loop_
_atom_site_label
_atom_site_type_symbol
_atom_site_fract_x
_atom_site_fract_y
_atom_site_fract_z
_atom_site_occupancy
Pt1 Pt 0.5000 0.5000 0.8272 1
Pt2 Pt 0.5000 0.0000 0.5115 1
Pt3 Pt 0.0000 0.5000 0.3190 1
Mo1 Mo 0.0000 0.0000 0.0089 1
```

Summary:
Energy relative to the elements ... -0.8 eV/f.u.
Space group ... Pmm2, No. 25
Crystal system ... orthorhombic

=====

Across the entries above, M_tot takes the values 0.000; 4.000; 2.447; 0.000 μB/f.u., respectively.